Entry 1:
This record from the Alexandria database describes an optimized crystal structure of Sc2TcMo. The functional is PBE.

Properties
distance to the lowest polymorph of the same formula	18	meV per atom
total energy	-8.570	eV per atom
energy of formation from the pure elements	-0.10	eV/atom
symmetry	Imm2

abc: 5.581 5.581 4.735
angles: 64.90 64.90 34.04
Positions (direct):
1 Sc 0.992 0.992 0.008
2 Sc 0.769 0.769 0.731
3 Mo 0.218 0.218 0.282
4 Tc 0.521 0.521 0.479


Entry 2:
This record from the Alexandria database describes an optimized crystal structure of LiMgTl2Pb. The functional is PBE.

Properties
total energy	-2.344	eV per atom
energy of formation from the pure elements	0.05	eV/atom
symmetry	Cmcm

abc: 6.180 6.174 7.717
angles: 113.58 90.00 90.00
Positions (direct):
1 Li 0.250 0.855 0.710
2 Li 0.750 0.145 0.290
3 Mg 0.250 0.658 0.317
4 Mg 0.750 0.342 0.683
5 Tl 0.500 0.248 0.000
6 Tl 0.000 0.752 0.000
7 Tl 0.500 0.752 0.000
8 Tl 0.000 0.248 0.000
9 Pb 0.750 0.745 0.489
10 Pb 0.250 0.255 0.511


Entry 3:
This record from the Alexandria database describes an optimized crystal structure of SmZn3CuRh. The functional is PBE.

Properties
total energy	-3.579	eV per atom
energy of formation from the pure elements	-0.25	eV/atom
symmetry	Cmcm

abc: 5.356 5.960 7.162
angles: 114.59 90.00 90.00
Positions (direct):
1 Sm 0.750 0.290 0.579
2 Sm 0.250 0.710 0.421
3 Zn 0.250 0.139 0.278
4 Zn 0.000 0.292 0.000
5 Zn 0.500 0.708 0.000
6 Zn 0.500 0.292 0.000
7 Zn 0.000 0.708 0.000
8 Zn 0.750 0.861 0.722
9 Cu 0.250 0.921 0.843
10 Cu 0.750 0.079 0.157
11 Rh 0.250 0.345 0.691
12 Rh 0.750 0.655 0.309


Entry 4:
This record from the Alexandria database describes an optimized crystal structure of DyGa2Ni2Ir. The functional is PBE.

Properties
total energy	-5.246	eV per atom
energy of formation from the pure elements	-0.07	eV/atom
symmetry	P4/mmm

abc: 4.678 4.678 5.266
angles: 90.00 90.00 90.00
Positions (direct):
1 Dy 0.000 0.000 0.500
2 Ga 0.500 0.000 0.000
3 Ga 0.000 0.500 0.000
4 Ni 0.500 0.500 0.743
5 Ni 0.500 0.500 0.257
6 Ir 0.000 0.000 0.000


Entry 5:
This record from the Alexandria database describes an optimized crystal structure of Pu2CdSb4. The functional is PBE.

Properties
ΔE_f (raw)	-0.4114	eV per atom
total energy	-6.993	eV per atom
symmetry	P-4m2

abc: 4.354 4.354 10.329
angles: 90.00 90.00 90.00
Site moments in Bohr magnetons follow the coordinates.
Positions (direct):
1 Pu 0.500 0.000 0.736  -5.12
2 Pu 0.000 0.500 0.264  -5.12
3 Cd 0.500 0.500 0.000  0.03
4 Sb 0.500 0.000 0.187  0.12
5 Sb 0.000 0.500 0.813  0.12
6 Sb 0.500 0.500 0.500  0.07
7 Sb 0.000 0.000 0.500  0.09


Entry 6:
This record from the Alexandria database describes an optimized crystal structure of TiBiSe2. The functional is PBE.

Properties
ΔE_f (raw)	-0.5961	eV per atom
total energy	-5.282	eV per atom
symmetry	P2_1/m

abc: 20.501 3.654 7.324
angles: 90.00 136.39 90.00
Positions (direct):
1 Bi 0.271 0.250 0.116
2 Bi 0.729 0.750 0.884
3 Bi 0.229 0.750 0.384
4 Bi 0.771 0.250 0.616
5 Se 0.920 0.750 0.707
6 Se 0.080 0.250 0.293
7 Se 0.580 0.250 0.793
8 Se 0.420 0.750 0.207
9 Se 0.088 0.750 0.709
10 Se 0.912 0.250 0.291
11 Se 0.412 0.250 0.791
12 Se 0.588 0.750 0.209
13 Ti 0.544 0.250 0.364
14 Ti 0.456 0.750 0.636
15 Ti 0.956 0.750 0.136
16 Ti 0.044 0.250 0.864


Question: The highest total energy belongs to which entry?
Answer: LiMgTl2Pb


Question: total energy of number 3 (SmZn3CuRh)?
Answer: -3.579 eV per atom


Question: Look up the total energy of the fourth one.
Answer: -5.246 eV per atom